No. 1
! Tb4NdSm2Th, optimized geometry, DFT PBE; values from VASP
! * DFT formation energy: 0.01 eV per atom
! * DOS at the Fermi energy: 1.298 states/eV/atom
! * spin magnetization: 0.0 Bohr magnetons per cell
&SYSTEM
  ibrav = 0, nat = 8, ntyp = 4
/
ATOMIC_SPECIES
Tb 158.93 Tb.upf
Sm 150.36 Sm.upf
Th 232.04 Th.upf
Nd 144.24 Nd.upf
ATOMIC_POSITIONS angstrom
Tb 8.923 -6.140 8.227
Sm 11.717 -3.166 5.138
Tb 2.669 1.610 4.011
Sm 5.710 -0.222 3.745
Th 5.944 -3.625 4.943
Nd -0.062 -0.682 3.550
Tb 8.655 -2.710 6.994
Tb 2.937 -1.819 5.244
CELL_PARAMETERS angstrom
-0.296 2.722 2.352
0.171 -4.085 4.748
11.717 -3.166 5.138

***

No. 2
! Tl2PdSe2, optimized geometry, DFT PBE; values from VASP
! * DOS at the Fermi energy: 0.288 states/eV/atom
! * spin magnetization: 0.0 Bohr magnetons per cell
! * formation energy from raw total energies: -188 meV/atom
! * relative energy among the computed polymorphs: 0.911 eV/f.u.
&SYSTEM
  ibrav = 0, nat = 10, ntyp = 3
/
ATOMIC_SPECIES
Tl 204.38 Tl.upf
Pd 106.42 Pd.upf
Se 78.96 Se.upf
ATOMIC_POSITIONS angstrom
Tl 5.553 2.176 2.796
Pd 0.000 0.000 0.000
Se 5.758 4.373 0.000
Tl 2.176 1.201 2.796
Tl 1.201 4.577 2.796
Pd 3.377 3.377 0.000
Se 4.373 0.996 0.000
Se 2.381 5.758 0.000
Tl 4.577 5.553 2.796
Se 0.996 2.381 0.000
CELL_PARAMETERS angstrom
6.754 0.000 0.000
0.000 6.754 0.000
0.000 0.000 5.592

***

No. 3
! Th5Ge2C, optimized geometry, DFT PBE; values from VASP
! * DFT formation energy: -0.25 eV per atom
! * DOS at the Fermi energy: 1.030 states/eV/atom
! * spin magnetization: 0.0 Bohr magnetons per cell
&SYSTEM
  ibrav = 0, nat = 16, ntyp = 3
/
ATOMIC_SPECIES
Th 232.04 Th.upf
Ge 72.64 Ge.upf
C 12.01 C.upf
ATOMIC_POSITIONS angstrom
Th -3.467 -2.590 5.466
Th -2.871 0.910 4.328
Th -1.351 -3.347 10.843
Th -0.409 -0.698 13.290
Ge -1.075 -4.022 13.689
Ge -1.625 -2.672 7.997
Ge -2.597 0.235 7.174
Th -3.944 -0.897 9.764
Th -3.813 -1.740 1.881
C -2.177 -0.797 11.527
Th -0.755 0.152 9.705
Th -3.598 -1.747 13.350
Th -0.277 -1.541 5.407
Th -0.624 -0.691 1.821
Ge -3.147 1.584 1.482
C -2.045 -1.640 3.644
CELL_PARAMETERS angstrom
-1.652 5.100 1.369
-3.961 -4.124 -0.595
1.391 -3.414 14.398

***

No. 4
! AlFeHg2, optimized geometry, DFT PBE; values from VASP
! * DFT formation energy: 0.35 eV per atom
! * DOS at the Fermi energy: 0.511 states/eV/atom
! * spin magnetization: 2.7 Bohr magnetons per cell
&SYSTEM
  ibrav = 0, nat = 4, ntyp = 3
/
ATOMIC_SPECIES
Al 26.98 Al.upf
Hg 200.59 Hg.upf
Fe 55.84 Fe.upf
ATOMIC_POSITIONS angstrom
Al 2.107 0.000 2.034
Hg 0.000 0.000 0.000
Hg 2.107 2.107 0.000
Fe 0.000 2.107 2.034
CELL_PARAMETERS angstrom
4.213 0.000 0.000
0.000 4.215 0.000
0.000 0.000 4.068

***

No. 5
! Er7Tl5In, optimized geometry, DFT PBE; values from VASP
! * DFT formation energy: -0.13 eV per atom
! * DOS at the Fermi energy: 1.012 states/eV/atom
! * spin magnetization: 0.0 Bohr magnetons per cell
&SYSTEM
  ibrav = 0, nat = 13, ntyp = 3
/
ATOMIC_SPECIES
Tl 204.38 Tl.upf
Er 167.26 Er.upf
In 114.82 In.upf
ATOMIC_POSITIONS angstrom
Tl 1.618 -0.001 3.562
Er 6.585 1.131 6.025
Er 6.585 2.809 2.818
Er 6.585 5.416 5.433
In 6.585 0.249 0.250
Er 3.292 2.373 5.050
Tl 4.967 -0.001 3.562
Tl 9.877 5.505 5.523
Er 3.292 5.043 2.389
Tl 4.967 3.562 0.010
Er 3.292 1.703 1.709
Tl 1.618 3.562 0.010
Er 6.585 6.021 1.151
CELL_PARAMETERS angstrom
6.585 0.000 0.000
3.292 7.521 -0.022
3.292 -0.046 7.521

***

No. 6
! InBi3W, optimized geometry, DFT PBE; values from VASP
! * DFT formation energy: 1.99 eV per atom
! * DOS at the Fermi energy: 1.752 states/eV/atom
! * spin magnetization: 0.4 Bohr magnetons per cell
! * relative energy among the computed polymorphs: 6.460 eV/f.u.
&SYSTEM
  ibrav = 0, nat = 5, ntyp = 3
/
ATOMIC_SPECIES
Bi 208.98 Bi.upf
In 114.82 In.upf
W 183.84 W.upf
ATOMIC_POSITIONS angstrom
Bi 0.000 2.785 0.000
In 0.000 0.000 0.000
W 2.785 2.785 2.785
Bi 0.000 0.000 2.785
Bi 2.785 0.000 0.000
CELL_PARAMETERS angstrom
5.571 0.000 0.000
0.000 5.571 0.000
0.000 0.000 5.571

***

No. 7
! SrOsSe2, optimized geometry, DFT PBE; values from VASP
! * DOS at the Fermi energy: 0.733 states/eV/atom
! * spin magnetization: 0.0 Bohr magnetons per cell
! * formation energy from raw total energies: -14 meV/atom
! * relative energy among the computed polymorphs: 2.569 eV/f.u.
&SYSTEM
  ibrav = 0, nat = 4, ntyp = 3
/
ATOMIC_SPECIES
Se 78.96 Se.upf
Os 190.23 Os.upf
Sr 87.62 Sr.upf
ATOMIC_POSITIONS angstrom
Se -2.561 -0.185 1.503
Os -5.123 -0.370 3.005
Sr 0.000 0.000 0.000
Se -7.684 -0.555 4.508
CELL_PARAMETERS angstrom
-2.344 -2.308 3.576
-3.134 2.425 2.811
-4.767 -0.857 -0.377

***

No. 8
! Ba2TeIr, optimized geometry, DFT PBE; values from VASP
! * DOS at the Fermi energy: 0.533 states/eV/atom
! * spin magnetization: 1.0 Bohr magnetons per cell
! * formation energy from raw total energies: -461 meV/atom
&SYSTEM
  ibrav = 0, nat = 4, ntyp = 3
/
ATOMIC_SPECIES
Ir 192.22 Ir.upf
Te 127.60 Te.upf
Ba 137.33 Ba.upf
ATOMIC_POSITIONS angstrom
Ir 0.000 2.601 2.125
Te 2.839 2.601 4.972
Ba 2.839 0.518 2.132
Ba 0.000 0.523 4.968
CELL_PARAMETERS angstrom
5.679 0.000 0.000
0.000 4.162 0.000
0.000 0.000 5.679

***

- Number 1 is which compound?
  Tb4NdSm2Th